DFT (PBE) results for Zr2TiRh after structural relaxation.

DFT total energy: -33.75 eV for the cell shown

The structure in CIF format:
```
data_Zr2TiRh
_chemical_formula_sum 'Zr2 Ti1 Rh1'
_cell_length_a 4.7265
_cell_length_b 4.7265
_cell_length_c 3.3481
_cell_angle_alpha 90.00
_cell_angle_beta 90.00
_cell_angle_gamma 90.00
_symmetry_space_group_name_H-M 'P 4/m m m'
_symmetry_Int_Tables_number 123
_symmetry_space_group_name_Hall '-P 4 2'
loop_
_atom_site_label
_atom_site_fract_x
_atom_site_fract_y
_atom_site_fract_z
Zr1 0.0000 0.5000 0.0000
Ti1 0.0000 0.0000 0.5000
Rh1 0.5000 0.5000 0.5000
```

DFT (PBE) results for Rb2Sr2UO6 after structural relaxation.

energy relative to the elements, uncorrected: -2.6798 eV/atom

The structure in CIF format:
```
data_Rb2Sr2UO6
_chemical_formula_sum 'Rb4 Sr4 U2 O12'
_cell_length_a 6.3946
_cell_length_b 10.7883
_cell_length_c 6.9557
_cell_angle_alpha 90.00
_cell_angle_beta 107.55
_cell_angle_gamma 90.00
_symmetry_space_group_name_H-M 'C 1 2/m 1'
_symmetry_Int_Tables_number 12
_symmetry_space_group_name_Hall '-C 2y'
loop_
_atom_site_label
_atom_site_fract_x
_atom_site_fract_y
_atom_site_fract_z
Rb1 0.0000 0.1699 0.0000
Sr1 0.0000 0.3367 0.5000
U1 0.0000 0.0000 0.5000
O1 0.1936 0.1455 0.6688
O2 0.2184 0.0000 0.3257
```

DFT (PBE) results for Be2AgMo after structural relaxation.

relative energy among the computed polymorphs: 0.0 kJ/mol of atoms

The structure in CIF format:
```
data_Be2AgMo
_chemical_formula_sum 'Be2 Ag1 Mo1'
_cell_length_a 2.7152
_cell_length_b 2.7152
_cell_length_c 6.8023
_cell_angle_alpha 90.00
_cell_angle_beta 90.00
_cell_angle_gamma 90.00
_symmetry_space_group_name_H-M 'P 4/m m m'
_symmetry_Int_Tables_number 123
_symmetry_space_group_name_Hall '-P 4 2'
loop_
_atom_site_label
_atom_site_fract_x
_atom_site_fract_y
_atom_site_fract_z
Be1 0.0000 0.0000 0.2450
Ag1 0.5000 0.5000 0.0000
Mo1 0.5000 0.5000 0.5000
```

DFT (PBE) results for Tb2LuBi after structural relaxation.

relative energy among the computed polymorphs: 4.9 kJ/mol of atoms

The structure in CIF format:
```
data_Tb2LuBi
_chemical_formula_sum 'Tb2 Lu1 Bi1'
_cell_length_a 4.8460
_cell_length_b 4.8460
_cell_length_c 4.8472
_cell_angle_alpha 90.00
_cell_angle_beta 90.00
_cell_angle_gamma 90.00
_symmetry_space_group_name_H-M 'P 4/m m m'
_symmetry_Int_Tables_number 123
_symmetry_space_group_name_Hall '-P 4 2'
loop_
_atom_site_label
_atom_site_fract_x
_atom_site_fract_y
_atom_site_fract_z
Tb1 0.0000 0.5000 0.0000
Lu1 0.0000 0.0000 0.5000
Bi1 0.5000 0.5000 0.5000
```

DFT (PBE) results for Ti2GeW after structural relaxation.

DFT total energy: -127.48 eV for the cell shown

The structure in CIF format:
```
data_Ti2GeW
_chemical_formula_sum 'Ti8 Ge4 W4'
_cell_length_a 7.2391
_cell_length_b 7.2391
_cell_length_c 5.2254
_cell_angle_alpha 90.00
_cell_angle_beta 90.00
_cell_angle_gamma 90.00
_symmetry_space_group_name_H-M 'I -4 2 d'
_symmetry_Int_Tables_number 122
_symmetry_space_group_name_Hall 'I -4 2bw'
loop_
_atom_site_label
_atom_site_fract_x
_atom_site_fract_y
_atom_site_fract_z
Ti1 0.2432 0.2500 0.1250
Ge1 0.0000 0.0000 0.0000
W1 0.0000 0.0000 0.5000
```

DFT (PBE) results for CaSc2Cr after structural relaxation.

relative energy among the computed polymorphs: 16.6 kJ/mol of atoms

The structure in CIF format:
```
data_CaSc2Cr
_chemical_formula_sum 'Ca1 Sc2 Cr1'
_cell_length_a 3.3247
_cell_length_b 4.8476
_cell_length_c 6.5008
_cell_angle_alpha 90.00
_cell_angle_beta 104.80
_cell_angle_gamma 90.00
_symmetry_space_group_name_H-M 'P 1 m 1'
_symmetry_Int_Tables_number 6
_symmetry_space_group_name_Hall 'P -2y'
loop_
_atom_site_label
_atom_site_fract_x
_atom_site_fract_y
_atom_site_fract_z
Ca1 0.0000 0.0000 0.0000
Sc1 0.3229 0.5000 0.6459
Sc2 0.7329 0.0000 0.4644
Cr1 0.6295 0.5000 0.2614
```

| no. | calculated volume (Å³ per atom) | density of states at the Fermi level (states/eV per atom) | magnetic moment (μB per formula unit) |
| --- | --- | --- | --- |
| 1 | 18.7 | 1.31 | 1.31 |
| 2 | 20.8 | 0.00 | 0.00 |
| 3 | 12.5 | 0.43 | 0.00 |
| 4 | 28.5 | 1.40 | 0.00 |
| 5 | 17.1 | 1.29 | 0.00 |
| 6 | 25.3 | 1.29 | 1.72 |